(1)
## IrBr2Cl (SCAN)

Data for a PBEsol-optimized structure of IrBr2Cl.

Output
density = 5.78 g/cm³
E_form (uncorrected) = -0.2019 eV/atom
density of states at the Fermi level = 0.960 states/eV/atom

Cell lengths 4.7422, 3.6758, 6.8083 Å; angles 90.00, 110.23, 90.00 degrees
Fractional coordinates of all 4 atoms:
Ir1 0.0000 0.0000 0.0000
Br1 0.1289 0.5000 0.2599
Br2 0.8711 0.5000 0.7401
Cl1 0.5000 0.0000 0.0000

(2)
## CdRuCl2 (SCAN)

Data for a PBEsol-optimized structure of CdRuCl2.

Output
density = 6.38 g/cm³
E_form (uncorrected) = 0.4695 eV/atom
density of states at the Fermi level = 0.762 states/eV/atom

Cell lengths 4.7119, 4.7119, 4.7119 Å; angles 60.00, 60.00, 60.00 degrees
Fractional coordinates of all 4 atoms:
Cd1 0.0000 0.0000 0.0000
Ru1 0.2500 0.2500 0.2500
Cl1 0.5000 0.5000 0.5000
Cl2 0.7500 0.7500 0.7500

(3)
## TaSbRh2 (SCAN)

Data for a PBEsol-optimized structure of TaSbRh2.

Output
density = 12.37 g/cm³
E_form (uncorrected) = -0.2004 eV/atom
density of states at the Fermi level = 0.629 states/eV/atom

Cell lengths 8.4991, 8.4991, 8.4991 Å; angles 20.88, 20.88, 20.88 degrees
Fractional coordinates of all 4 atoms:
Ta1 0.0000 0.0000 0.0000
Sb1 0.5000 0.5000 0.5000
Rh1 0.2552 0.2552 0.2552
Rh2 0.7448 0.7448 0.7448